(1)
Density functional theory data (PBE-GGA) for PrZn8Cu4 after structural relaxation.

Cell: 8.9354 8.9354 4.9597 Å, 90.00 90.00 90.00°
With the nearest neighbours (Å) after each atom.
Space group I4/mmm (No. 139)
Inequivalent atoms, fractional coordinates:
Pr1 0.0000 0.0000 0.0000 (multiplicity 2)  12 Zn 3.13-3.19, 8 Cu 3.39
Zn1 0.0000 0.2244 0.5000 (multiplicity 8)  4 Cu 2.57, 6 Zn 2.72-2.84
Zn2 0.0000 0.3504 0.0000 (multiplicity 8)  5 Zn 2.67-2.80, 4 Cu 2.71
Cu1 0.2500 0.2500 0.2500 (multiplicity 8)  2 Cu 2.48, 8 Zn 2.57-2.71

Results
The calculation puts the density of states at the Fermi level at 0.5028 states/eV per atom. The value obtained for the formation energy is -0.198 eV per atom. As for the total magnetization: 0.00 Bohr magnetons per cell.



(2)
Density functional theory data (PBE-GGA) for Pr12Zn6Cu after structural relaxation.

Cell: 12.0313 12.0313 13.4602 Å, 90.00 90.00 120.00°
With the nearest neighbours (Å) after each atom.
Space group R-3 (No. 148, hexagonal axes)
Inequivalent atoms, fractional coordinates:
Pr1 0.0382 0.8391 0.3692 (multiplicity 18)  1 Cu 2.82, 1 Zn 3.11
Pr2 0.0449 0.1978 0.8915 (multiplicity 18)  4 Zn 3.10-3.33
Zn1 0.0028 0.5960 0.2413 (multiplicity 18)  8 Pr 3.10-3.33
Cu1 0.0000 0.0000 0.5000 (multiplicity 3)  6 Pr 2.82

Results
The calculation puts the density of states at the Fermi level at 1.4170 states/eV per atom. The value obtained for the formation energy is -0.062 eV per atom. As for the total magnetization: 0.00 Bohr magnetons per cell.



(3)
Density functional theory data (PBE-GGA) for Pr4Zn3Cu after structural relaxation.

Cell: 3.7010 3.7010 14.7283 Å, 90.00 90.00 90.00°
With the nearest neighbours (Å) after each atom.
Space group P4/mmm (No. 123)
Inequivalent atoms, fractional coordinates:
Pr1 0.0000 0.0000 0.1218 (multiplicity 2)  4 Cu 3.17, 4 Zn 3.22
Pr2 0.0000 0.0000 0.3733 (multiplicity 2)  8 Zn 3.20-3.21
Zn1 0.5000 0.5000 0.2488 (multiplicity 2)  8 Pr 3.20-3.22
Zn2 0.5000 0.5000 0.5000 (multiplicity 1)  8 Pr 3.21
Cu1 0.5000 0.5000 0.0000 (multiplicity 1)  8 Pr 3.17

Results
The calculation puts the density of states at the Fermi level at 1.1034 states/eV per atom. The offset from the most stable computed form is 0.000 eV/atom. The value obtained for the formation energy is -0.252 eV per atom. As for the total magnetization: 0.00 Bohr magnetons per cell.



(4)
Density functional theory data (PBE-GGA) for PrZn2Cu5 after structural relaxation.

Cell: 3.8461 6.8229 9.8627 Å, 90.00 90.00 90.00°
With the nearest neighbours (Å) after each atom.
Space group Immm (No. 71)
Inequivalent atoms, fractional coordinates:
Pr1 0.0000 0.0000 0.0000 (multiplicity 2)  4 Zn 3.13, 10 Cu 3.17-3.41
Zn1 0.0000 0.5000 0.2492 (multiplicity 4)  7 Cu 2.46-2.58
Cu1 0.0000 0.1825 0.3705 (multiplicity 8)  3 Zn 2.48-2.58, 4 Cu 2.49-2.62
Cu2 0.0000 0.5000 0.0000 (multiplicity 2)  2 Zn 2.46, 8 Cu 2.62

Results
The calculation puts the density of states at the Fermi level at 0.4212 states/eV per atom. The value obtained for the formation energy is -0.072 eV per atom. As for the total magnetization: 0.00 Bohr magnetons per cell.



(5)
Density functional theory data (PBE-GGA) for Pr2ZnCu5 after structural relaxation.

Cell: 4.2380 15.5653 8.9926 Å, 90.00 90.00 90.00°
With the nearest neighbours (Å) after each atom.
Space group Cmcm (No. 63)
Inequivalent atoms, fractional coordinates:
Pr1 0.0000 0.0000 0.0000 (multiplicity 4)  6 Cu 2.95-3.22, 4 Zn 3.23
Pr2 0.0000 0.2097 0.2500 (multiplicity 4)  13 Cu 2.97-3.31, 2 Zn 3.14
Zn1 0.0000 0.4396 0.7500 (multiplicity 4)  3 Cu 2.49-2.55
Cu1 0.0000 0.1776 0.6134 (multiplicity 8)  6 Cu 2.45-2.73
Cu2 0.0000 0.3443 0.5190 (multiplicity 8)  4 Cu 2.45-2.73, 1 Zn 2.55
Cu3 0.0000 0.4005 0.2500 (multiplicity 4)  1 Zn 2.49, 6 Cu 2.57-2.73

Results
The calculation puts the density of states at the Fermi level at 0.4977 states/eV per atom. The offset from the most stable computed form is 0.000 eV/atom. The value obtained for the formation energy is -0.169 eV per atom. As for the total magnetization: 0.00 Bohr magnetons per cell.



(6)
Density functional theory data (PBE-GGA) for PrZn2Cu2 after structural relaxation.

Cell: 9.9743 4.2590 4.6192 Å, 90.00 110.96 90.00°
With the nearest neighbours (Å) after each atom.
Space group C2/m (No. 12)
Inequivalent atoms, fractional coordinates:
Pr1 0.0000 0.0000 0.0000 (multiplicity 2)  6 Cu 2.97-3.08, 4 Zn 3.33
Zn1 0.1373 0.5000 0.5862 (multiplicity 4)  4 Cu 2.48-2.52, 1 Zn 2.56
Cu1 0.2386 0.5000 0.1677 (multiplicity 4)  4 Zn 2.48-2.52, 2 Cu 2.69

Results
The calculation puts the density of states at the Fermi level at 0.4951 states/eV per atom. The offset from the most stable computed form is 0.009 eV/atom. The value obtained for the formation energy is -0.218 eV per atom. As for the total magnetization: 0.00 Bohr magnetons per cell.



(7)
Density functional theory data (PBE-GGA) for Pr2Zn2Cu3 after structural relaxation.

Cell: 10.3813 4.3193 6.6457 Å, 90.00 113.78 90.00°
With the nearest neighbours (Å) after each atom.
Space group C2/m (No. 12)
Inequivalent atoms, fractional coordinates:
Pr1 0.1520 0.0000 0.2583 (multiplicity 4)  6 Cu 3.03-3.31, 4 Zn 3.04-3.24
Zn1 0.1396 0.0000 0.7383 (multiplicity 4)  5 Cu 2.59-2.80
Cu1 0.0000 0.5000 0.5000 (multiplicity 2)  2 Cu 2.51, 4 Zn 2.72
Cu2 0.0936 0.5000 0.9129 (multiplicity 4)  2 Cu 2.51-2.63, 3 Zn 2.59-2.80

Results
The calculation puts the density of states at the Fermi level at 0.7733 states/eV per atom. The value obtained for the formation energy is -0.209 eV per atom. As for the total magnetization: 0.00 Bohr magnetons per cell.



(8)
Density functional theory data (PBE-GGA) for Pr3Zn4Cu4 after structural relaxation.

Cell: 3.9200 4.2506 13.5521 Å, 81.04 81.70 89.85°
With the nearest neighbours (Å) after each atom.
Space group P-1 (No. 2)
Inequivalent atoms, fractional coordinates:
Pr1 0.0000 0.0000 0.0000 (multiplicity 1)  8 Cu 3.15-3.17, 4 Zn 3.24
Pr2 0.1502 0.6504 0.7015 (multiplicity 2)  6 Cu 3.10-3.33, 8 Zn 3.20-3.45
Zn1 0.2519 0.2528 0.4962 (multiplicity 2)  4 Cu 2.51-2.58
Zn2 0.4018 0.9016 0.1949 (multiplicity 2)  3 Cu 2.50-2.52
Cu1 0.3066 0.8079 0.3855 (multiplicity 2)  5 Zn 2.51-2.58
Cu2 0.4503 0.4513 0.0954 (multiplicity 2)  2 Zn 2.50, 1 Cu 2.53

Results
The calculation puts the density of states at the Fermi level at 0.6106 states/eV per atom. The offset from the most stable computed form is 0.000 eV/atom. The value obtained for the formation energy is -0.248 eV per atom. As for the total magnetization: 0.00 Bohr magnetons per cell.